This record from Alexandria describes an optimized crystal structure of CdReAg2. The functional is PBE.

As for the crystal system: tetragonal. Its magnetic moment is 2.31 μB per cell. The space group is No. 119. The value obtained for the calculated formation energy is 0.794 eV per atom.

Cell: 4.8978 4.8978 4.8978 Å, 127.60 127.60 77.27°
Last column: nearest neighbours and their distance in Å.
Atoms (fractional coordinates):
Cd  0.5000  0.5000  0.0000  8 Ag 2.89-3.06, 4 Re 2.89
Re  0.7500  0.2500  0.5000  4 Cd 2.89, 8 Ag 2.89-3.06
Ag  0.0000  0.0000  0.0000  4 Re 2.89, 4 Ag 2.89, 4 Cd 3.06
Ag  0.2500  0.7500  0.5000  4 Ag 2.89, 4 Cd 2.89, 4 Re 3.06